(1)
PBE ErCd2TcO6, relaxed; total magnetic moment = 0.00 Bohr magnetons per cell; raw formation energy = -154.8 kJ per mole of atoms; total energy = -0.45976 Ry per atom
1.0
5.6934 0.0000 0.0000
0.0000 5.6934 0.0000
0.0000 0.0000 4.5873
Er Cd Tc O
1 2 1 6
direct
0.0000 0.0000 0.0000 Er
0.0000 0.5000 0.3672 Cd
0.5000 0.0000 0.3672 Cd
0.5000 0.5000 0.9533 Tc
0.0000 0.0000 0.5293 O
0.2738 0.2738 0.0948 O
0.2738 0.7262 0.0948 O
0.5000 0.5000 0.5801 O
0.7262 0.2738 0.0948 O
0.7262 0.7262 0.0948 O



(2)
PBE CsCu2Cl8, relaxed; total magnetic moment = 2.80 Bohr magnetons per cell; raw formation energy = -50.3 kJ per mole of atoms; total energy = -0.19750 Ry per atom
1.0
3.5631 -7.9506 0.0000
3.5631 7.9506 0.0000
-0.0219 0.0000 5.0704
Cs Cu Cl
1 2 8
direct
0.0000 0.0000 0.0000 Cs
0.2530 0.7470 0.5000 Cu
0.7470 0.2530 0.5000 Cu
0.0896 0.3908 0.5065 Cl
0.2493 0.7507 0.0000 Cl
0.3908 0.0896 0.5065 Cl
0.4627 0.4627 0.1900 Cl
0.5373 0.5373 0.8100 Cl
0.6092 0.9104 0.4935 Cl
0.7507 0.2493 0.0000 Cl
0.9104 0.6092 0.4935 Cl



(3)
PBE LaCoAs2Br, relaxed; total magnetic moment = 3.06 Bohr magnetons per cell; relative energy among the computed polymorphs = 1216.3 meV/atom; raw formation energy = 69.3 kJ per mole of atoms; total energy = -0.28538 Ry per atom
1.0
5.7569 0.0000 0.0000
0.0000 5.7569 0.0000
0.0000 0.0000 5.6852
La Co As Br
1 1 2 1
direct
0.0000 0.0000 0.0000 La
0.5000 0.5000 0.5000 Co
0.0000 0.5000 0.0000 As
0.5000 0.0000 0.0000 As
0.0000 0.0000 0.5000 Br



(4)
PBE MnCdBiCl2, relaxed; total magnetic moment = 3.82 Bohr magnetons per cell; raw formation energy = -33.8 kJ per mole of atoms; total energy = -0.28531 Ry per atom
1.0
4.6685 0.0000 0.0000
0.0000 4.6685 0.0000
0.0000 0.0000 6.0331
Mn Cd Bi Cl
1 1 1 2
direct
0.0000 0.0000 0.0000 Mn
0.5000 0.5000 0.5000 Cd
0.0000 0.0000 0.5000 Bi
0.0000 0.5000 0.0000 Cl
0.5000 0.0000 0.0000 Cl



(5)
PBE CdOs2Cl, relaxed; total magnetic moment = 0.00 Bohr magnetons per cell; relative energy among the computed polymorphs = 1369.3 meV/atom; raw formation energy = 155.4 kJ per mole of atoms; total energy = -0.34506 Ry per atom
1.0
0.0000 3.1886 3.1886
3.1886 0.0000 3.1886
3.1886 3.1886 0.0000
Cd Os Cl
1 2 1
direct
0.0000 0.0000 0.0000 Cd
0.2500 0.2500 0.2500 Os
0.7500 0.7500 0.7500 Os
0.5000 0.5000 0.5000 Cl



(6)
PBE K2BaNi, relaxed; formation energy = 1.9 eV/f.u.; total magnetic moment = 0.00 Bohr magnetons per cell; relative energy among the computed polymorphs = 239.0 meV/atom; total energy = -0.14619 Ry per atom
1.0
3.3132 -3.8294 0.0000
3.3132 3.8294 0.0000
0.0000 0.0000 6.5014
K Ba Ni
2 1 1
direct
0.2055 0.7945 0.0000 K
0.7945 0.2055 0.0000 K
0.5000 0.5000 0.5000 Ba
0.0000 0.0000 0.5000 Ni



(7)
PBE AcCdSeO6, relaxed; total magnetic moment = 1.08 Bohr magnetons per cell; raw formation energy = -135.7 kJ per mole of atoms; total energy = -0.41577 Ry per atom
1.0
5.4657 0.0000 0.0000
-2.7329 4.7334 0.0000
0.0000 0.0000 5.1679
Ac Cd Se O
1 1 1 6
direct
0.0000 0.0000 0.0000 Ac
0.3333 0.6667 0.5000 Cd
0.6667 0.3333 0.5000 Se
0.3987 0.0598 0.7070 O
0.3987 0.3389 0.2930 O
0.6611 0.0598 0.2930 O
0.6611 0.6013 0.7070 O
0.9402 0.3389 0.7070 O
0.9402 0.6013 0.2930 O



(8)
PBE Cd2ReW, relaxed; formation energy = 4.7 eV/f.u.; total magnetic moment = 0.00 Bohr magnetons per cell; relative energy among the computed polymorphs = 804.9 meV/atom; total energy = -0.41426 Ry per atom
1.0
4.6137 0.0000 0.0000
0.0000 4.6137 0.0000
0.0000 0.0000 3.2614
Cd Re W
2 1 1
direct
0.0000 0.5000 0.0000 Cd
0.5000 0.0000 0.0000 Cd
0.0000 0.0000 0.5000 Re
0.5000 0.5000 0.5000 W